1.
5
Lattice="-3.9688 1.3667 -2.7318 0.7333 -2.7761 -2.4541 -2.8958 -3.1089 2.6516" Properties=species:S:1:pos:R:3 comment="PBE-GGA CuAg2SnF, relaxed" vol_a3_per_atom=18.9 raw_formation_energy_ev_per_atom=-0.117 total_magnetization_mub_per_cell=0.00 pbc="T T T"
Sn -3.0657 -2.2592 -1.2671
Ag -1.9844 0.6833 -1.3659
Ag -1.4479 -1.5545 1.3258
Cu 0.3666 -1.3880 -1.2270
F 0.0000 0.0000 0.0000


2.
6
Lattice="5.1863 -0.0926 -0.0734 -2.6010 4.4879 0.0734 -2.5623 -1.4508 4.2710" Properties=species:S:1:pos:R:3 comment="PBE-GGA TmCoOs, relaxed" vol_a3_per_atom=16.3 total_magnetization_mub_per_cell=1.24 relative_energy_mev_per_atom=0 delta_e_f_ev_per_atom=-0.325 pbc="T T T"
Os -2.5816 1.5185 2.1722
Co -1.3005 2.2439 0.0367
Os 1.3120 -0.7717 2.0988
Tm 1.2831 3.6822 0.5519
Co 0.0115 1.4722 2.1355
Tm -1.2601 -0.7378 3.7191


3.
4
Lattice="-3.5945 5.8862 10.4462 -5.6710 3.6422 10.5482 -2.8908 3.2093 11.7488" Properties=species:S:1:pos:R:3 comment="PBE-GGA KLaTa2, relaxed" vol_a3_per_atom=25.1 total_magnetization_mub_per_cell=0.00 relative_energy_mev_per_atom=505 delta_e_f_ev_per_atom=1.060 pbc="T T T"
K -3.0391 3.1844 8.1858
Ta -6.0207 6.3086 16.2169
La -9.1172 9.5532 24.5573
Ta -0.0574 0.0602 0.1546


4.
5
Lattice="-2.1769 -2.2620 3.2117 3.6851 -2.4476 0.7739 1.3606 3.0104 3.0424" Properties=species:S:1:pos:R:3 comment="PBE-GGA Ti3NiGe, relaxed" vol_a3_per_atom=18.1 total_magnetization_mub_per_cell=0.00 relative_energy_mev_per_atom=0 delta_e_f_ev_per_atom=0.147 pbc="T T T"
Ti 1.8425 -1.2238 0.3869
Ti -1.0884 -1.1310 1.6058
Ge 1.4344 -0.8496 3.5140
Ni 0.0000 0.0000 0.0000
Ti 0.6803 1.5052 1.5212


> What is the formula in the fourth record?

Ti3NiGe


> Number 3 is which compound?

KLaTa2


Repeat the second record exactly.
6
Lattice="5.1863 -0.0926 -0.0734 -2.6010 4.4879 0.0734 -2.5623 -1.4508 4.2710" Properties=species:S:1:pos:R:3 comment="PBE-GGA TmCoOs, relaxed" vol_a3_per_atom=16.3 total_magnetization_mub_per_cell=1.24 relative_energy_mev_per_atom=0 delta_e_f_ev_per_atom=-0.325 pbc="T T T"
Os -2.5816 1.5185 2.1722
Co -1.3005 2.2439 0.0367
Os 1.3120 -0.7717 2.0988
Tm 1.2831 3.6822 0.5519
Co 0.0115 1.4722 2.1355
Tm -1.2601 -0.7378 3.7191